i.
Li2BeSi: relaxed, GGA-PBEsol.

The value obtained for the total magnetic moment is 0.00 μB/f.u. For the volume, the calculation gives 11.562 Å³ per atom. The calculation puts the density of states at the Fermi level at 0.05 states/eV per cell.

It has space group F-43m (No. 216), with a = 5.6979 Å, b = 5.6979 Å, c = 5.6979 Å, α = 90.00°, β = 90.00° and γ = 90.00°. The inequivalent atoms are Li at (0.0000, 0.0000, 0.0000), Li at (0.2500, 0.2500, 0.2500), Be at (0.2500, 0.2500, 0.7500) and Si at (0.0000, 0.0000, 0.5000).

ii.
Li2BeSi: relaxed, GGA-PBEsol.

The value obtained for the total magnetic moment is 0.00 μB/f.u. For the volume, the calculation gives 11.865 Å³ per atom. The calculation puts the density of states at the Fermi level at 4.10 states/eV per cell.

It has space group Fm-3m (No. 225), with a = 5.7473 Å, b = 5.7473 Å, c = 5.7473 Å, α = 90.00°, β = 90.00° and γ = 90.00°. The inequivalent atoms are Li at (0.2500, 0.2500, 0.2500), Be at (0.0000, 0.0000, 0.0000) and Si at (0.0000, 0.0000, 0.5000).

What is the stability order? It is i, ii, from most stable to least stable.

i.
LiBeSn3: relaxed, GGA-PBEsol.

The value obtained for the total magnetic moment is 0.00 μB/f.u. For the volume, the calculation gives 23.326 Å³ per atom. The calculation puts the density of states at the Fermi level at 2.33 states/eV per cell.

It has space group Pm-3m (No. 221), with a = 4.8858 Å, b = 4.8858 Å, c = 4.8858 Å, α = 90.00°, β = 90.00° and γ = 90.00°. The inequivalent atoms are Li at (0.0000, 0.0000, 0.0000), Be at (0.5000, 0.5000, 0.5000) and Sn at (0.0000, 0.0000, 0.5000).

ii.
LiBeSn3: relaxed, GGA-PBEsol.

The value obtained for the total magnetic moment is 0.00 μB/f.u. For the volume, the calculation gives 23.889 Å³ per atom. The calculation puts the density of states at the Fermi level at 2.25 states/eV per cell.

It has space group Pm-3m (No. 221), with a = 4.9248 Å, b = 4.9248 Å, c = 4.9248 Å, α = 90.00°, β = 90.00° and γ = 90.00°. The inequivalent atoms are Li at (0.0000, 0.0000, 0.0000), Be at (0.5000, 0.5000, 0.5000) and Sn at (0.0000, 0.5000, 0.5000).

What is the stability order? It is ii, i, from most stable to least stable.

i.
Li2BeTc: relaxed, GGA-PBEsol.

The value obtained for the total magnetic moment is 0.00 μB/f.u. For the volume, the calculation gives 12.242 Å³ per atom. The calculation puts the density of states at the Fermi level at 3.63 states/eV per cell.

It has space group Imm2 (No. 44), with a = 2.4149 Å, b = 4.5695 Å, c = 8.8752 Å, α = 90.00°, β = 90.00° and γ = 90.00°. The inequivalent atoms are Li at (0.0000, 0.0000, 0.0000), Li at (0.0000, 0.5000, 0.2458), Be at (0.0000, 0.0000, 0.5114) and Tc at (0.0000, 0.5000, 0.7837).

ii.
Li2BeTc: relaxed, GGA-PBEsol.

The value obtained for the total magnetic moment is 0.00 μB/f.u. For the volume, the calculation gives 12.237 Å³ per atom. The calculation puts the density of states at the Fermi level at 3.10 states/eV per cell.

It has space group Cm (No. 8), with a = 8.9252 Å, b = 2.3803 Å, c = 4.8275 Å, α = 90.00°, β = 107.34° and γ = 90.00°. The inequivalent atoms are Li at (0.0000, 0.0000, 0.0000), Li at (0.2373, 0.0000, 0.8709), Be at (0.2072, 0.5000, 0.3891) and Tc at (0.4483, 0.0000, 0.4701).

What is the stability order? It is ii, i, from most stable to least stable.

i.
Li2BeTc: relaxed, GGA-PBEsol.

The value obtained for the total magnetic moment is 0.00 μB/f.u. For the volume, the calculation gives 13.446 Å³ per atom. The calculation puts the density of states at the Fermi level at 6.78 states/eV per cell.

It has space group R3m (No. 160, hexagonal axes), with a = 2.6163 Å, b = 2.6163 Å, c = 27.2194 Å, α = 90.00°, β = 90.00° and γ = 120.00°. The inequivalent atoms are Li at (0.0000, 0.0000, 0.0000), Li at (0.0000, 0.0000, 0.2385), Be at (0.0000, 0.0000, 0.4902) and Tc at (0.0000, 0.0000, 0.7520).

ii.
Li2BeTc: relaxed, GGA-PBEsol.

The value obtained for the total magnetic moment is 0.00 μB/f.u. For the volume, the calculation gives 12.868 Å³ per atom. The calculation puts the density of states at the Fermi level at 5.64 states/eV per cell.

It has space group R-3m (No. 166, hexagonal axes), with a = 2.5577 Å, b = 2.5577 Å, c = 27.2542 Å, α = 90.00°, β = 90.00° and γ = 120.00°. The inequivalent atoms are Li at (0.0000, 0.0000, 0.2483), Be at (0.0000, 0.0000, 0.5000) and Tc at (0.0000, 0.0000, 0.0000).

What is the stability order? It is i, ii, from most stable to least stable.

i.
LiBe2Tl: relaxed, GGA-PBEsol.

The value obtained for the total magnetic moment is 0.00 μB/f.u. For the volume, the calculation gives 14.485 Å³ per atom. The calculation puts the density of states at the Fermi level at 0.93 states/eV per cell.

It has space group P4mm (No. 99), with a = 2.9728 Å, b = 2.9728 Å, c = 6.5561 Å, α = 90.00°, β = 90.00° and γ = 90.00°. The inequivalent atoms are Li at (0.0000, 0.0000, 0.0000), Be at (0.0000, 0.0000, 0.3731), Be at (0.5000, 0.5000, 0.2590) and Tl at (0.5000, 0.5000, 0.6859).

ii.
LiBe2Tl: relaxed, GGA-PBEsol.

The value obtained for the total magnetic moment is 0.00 μB/f.u. For the volume, the calculation gives 18.663 Å³ per atom. The calculation puts the density of states at the Fermi level at 6.66 states/eV per cell.

It has space group I4_1/amd (No. 141, origin choice 2), with a = 4.1807 Å, b = 4.1807 Å, c = 17.0846 Å, α = 90.00°, β = 90.00° and γ = 90.00°. The inequivalent atoms are Li at (0.0000, 0.2500, 0.3750), Be at (0.0000, 0.0000, 0.0000) and Tl at (0.0000, 0.2500, 0.8750).

iii.
LiBe2Tl: relaxed, GGA-PBEsol.

The value obtained for the total magnetic moment is 0.00 μB/f.u. For the volume, the calculation gives 13.353 Å³ per atom. The calculation puts the density of states at the Fermi level at 1.04 states/eV per cell.

It has space group P4/mmm (No. 123), with a = 3.7699 Å, b = 3.7699 Å, c = 3.7582 Å, α = 90.00°, β = 90.00° and γ = 90.00°. The inequivalent atoms are Li at (0.0000, 0.0000, 0.0000), Be at (0.0000, 0.5000, 0.5000) and Tl at (0.5000, 0.5000, 0.0000).

What is the stability order? It is i, iii, ii, from most stable to least stable.

i.
LiBeTl2: relaxed, GGA-PBEsol.

The value obtained for the total magnetic moment is 0.00 μB/f.u. For the volume, the calculation gives 19.118 Å³ per atom. The calculation puts the density of states at the Fermi level at 1.61 states/eV per cell.

It has space group Pmm2 (No. 25), with a = 3.5119 Å, b = 4.0162 Å, c = 5.4218 Å, α = 90.00°, β = 90.00° and γ = 90.00°. The inequivalent atoms are Li at (0.0000, 0.0000, 0.0000), Be at (0.5000, 0.5000, 0.7143), Tl at (0.0000, 0.0000, 0.5280) and Tl at (0.5000, 0.5000, 0.1969).

ii.
LiBeTl2: relaxed, GGA-PBEsol.

The value obtained for the total magnetic moment is 0.00 μB/f.u. For the volume, the calculation gives 19.314 Å³ per atom. The calculation puts the density of states at the Fermi level at 2.65 states/eV per cell.

It has space group I-4m2 (No. 119), with a = 4.0184 Å, b = 4.0184 Å, c = 9.5685 Å, α = 90.00°, β = 90.00° and γ = 90.00°. The inequivalent atoms are Li at (0.0000, 0.0000, 0.0000), Be at (0.0000, 0.5000, 0.7500), Tl at (0.0000, 0.0000, 0.5000) and Tl at (0.0000, 0.5000, 0.2500).

What is the stability order? It is i, ii, from most stable to least stable.